Here is a relaxed structure of P3Ir5 from Alexandria. Energies are from PBE.

Cell: 7.048 8.702 3.694 Å, 90.00 90.00 90.00°
Space group Cmmm (No. 65)
One atom of each set of equivalent atoms:
P1 0.000 0.000 0.000 [2 per cell]
P2 0.000 0.313 0.500 [4 per cell]
Ir1 0.000 0.500 0.000 [2 per cell]
Ir2 0.203 0.000 0.500 [4 per cell]
Ir3 0.250 0.250 0.000 [4 per cell]

Output
The calculation puts the formation energy at 0.08 eV per atom. As for the energy above the most stable polymorph in this dataset: 7 meV/atom. The magnetization is 0.00 μB/cell.


Here is a relaxed structure of P3Ir from Alexandria. Energies are from PBE.

Cell: 9.538 4.595 3.457 Å, 90.00 107.39 90.00°
Space group Cm (No. 8)
One atom of each set of equivalent atoms:
P1 0.000 0.000 0.000 [2 per cell]
P2 0.076 0.500 0.075 [2 per cell]
P3 0.407 0.000 0.431 [2 per cell]
Ir1 0.337 0.500 0.367 [2 per cell]

Output
The calculation puts the formation energy at -0.15 eV per atom. As for the energy above the most stable polymorph in this dataset: 494 meV/atom. The magnetization is 0.00 μB/cell.


Here is a relaxed structure of P5Ir4 from Alexandria. Energies are from PBE.

Cell: 7.513 7.513 4.778 Å, 90.00 90.00 90.00°
Space group I4/mmm (No. 139)
One atom of each set of equivalent atoms:
P1 0.000 0.000 0.000 [2 per cell]
P2 0.176 0.176 0.500 [8 per cell]
Ir1 0.000 0.301 0.000 [8 per cell]

Output
The calculation puts the formation energy at 0.37 eV per atom. As for the energy above the most stable polymorph in this dataset: 256 meV/atom. The magnetization is 0.00 μB/cell.


Here is a relaxed structure of PIr from Alexandria. Energies are from PBE.

Cell: 3.1283 3.1283 7.8630 Å, 90.00 90.00 120.00°
Space group P-3m1 (No. 164)
One atom of each set of equivalent atoms:
P1 0.3333 0.6667 0.1730 [2 per cell]
Ir1 0.3333 0.6667 0.6425 [2 per cell]

Output
The calculation puts the formation energy at 0.03 eV per atom. The magnetization is 0.00 μB/cell.


Here is a relaxed structure of PIr from Alexandria. Energies are from PBE.

Cell: 10.343 3.621 5.455 Å, 90.00 90.00 90.00°
Space group Pmn2_1 (No. 31)
One atom of each set of equivalent atoms:
P1 0.000 0.038 0.000 [2 per cell]
P2 0.171 0.463 0.521 [4 per cell]
Ir1 0.000 0.537 0.264 [2 per cell]
Ir2 0.217 0.046 0.170 [4 per cell]

Output
The calculation puts the formation energy at -0.27 eV per atom. The magnetization is 0.00 μB/cell.


Here is a relaxed structure of P3Ir from Alexandria. Energies are from PBE.

Cell: 2.955 2.955 6.517 Å, 90.00 90.00 90.00°
Space group P4/mmm (No. 123)
One atom of each set of equivalent atoms:
P1 0.000 0.000 0.000 [1 per cell]
P2 0.500 0.500 0.262 [2 per cell]
Ir1 0.000 0.000 0.500 [1 per cell]

Output
The calculation puts the formation energy at 0.41 eV per atom. As for the energy above the most stable polymorph in this dataset: 1055 meV/atom. The magnetization is 0.00 μB/cell.


Here is a relaxed structure of PIr from Alexandria. Energies are from PBE.

Cell: 7.638 3.404 7.545 Å, 90.00 107.64 90.00°
Space group Cm (No. 8)
One atom of each set of equivalent atoms:
P1 0.000 0.000 0.000 [2 per cell]
P2 0.038 0.000 0.638 [2 per cell]
P3 0.363 0.000 0.290 [2 per cell]
Ir1 0.140 0.500 0.227 [2 per cell]
Ir2 0.165 0.500 0.856 [2 per cell]
Ir3 0.317 0.000 0.575 [2 per cell]

Output
The calculation puts the formation energy at -0.23 eV per atom. The magnetization is 0.00 μB/cell.


Here is a relaxed structure of P3Ir from Alexandria. Energies are from PBE.

Cell: 3.581 3.593 5.060 Å, 90.00 90.00 90.00°
Space group Pmm2 (No. 25)
One atom of each set of equivalent atoms:
P1 0.000 0.000 0.000 [1 per cell]
P2 0.000 0.500 0.329 [1 per cell]
P3 0.500 0.500 0.659 [1 per cell]
Ir1 0.500 0.000 0.330 [1 per cell]

Output
The calculation puts the formation energy at 0.28 eV per atom. As for the energy above the most stable polymorph in this dataset: 924 meV/atom. The magnetization is 0.00 μB/cell.


Here is a relaxed structure of PIr from Alexandria. Energies are from PBE.

Cell: 10.872 3.321 4.889 Å, 90.00 106.80 90.00°
Space group C2/m (No. 12)
One atom of each set of equivalent atoms:
P1 0.000 0.000 0.000 [2 per cell]
P2 0.172 0.500 0.761 [4 per cell]
Ir1 0.000 0.000 0.500 [2 per cell]
Ir2 0.165 0.500 0.258 [4 per cell]

Output
The calculation puts the formation energy at -0.17 eV per atom. The magnetization is 0.00 μB/cell.


Here is a relaxed structure of P3Ir from Alexandria. Energies are from PBE.

Cell: 2.844 4.209 10.363 Å, 90.00 90.00 90.00°
Space group Immm (No. 71)
One atom of each set of equivalent atoms:
P1 0.000 0.000 0.000 [2 per cell]
P2 0.000 0.500 0.198 [4 per cell]
Ir1 0.000 0.000 0.500 [2 per cell]

Output
The calculation puts the formation energy at 0.36 eV per atom. As for the energy above the most stable polymorph in this dataset: 1008 meV/atom. The magnetization is 0.00 μB/cell.


Here is a relaxed structure of PIr from Alexandria. Energies are from PBE.

Cell: 4.340 2.877 4.480 Å, 90.00 90.00 90.00°
Space group Pmma (No. 51)
One atom of each set of equivalent atoms:
P1 0.250 0.000 0.244 [2 per cell]
Ir1 0.250 0.500 0.705 [2 per cell]

Output
The calculation puts the formation energy at 0.15 eV per atom. The magnetization is 0.00 μB/cell.


Here is a relaxed structure of P2Ir from Alexandria. Energies are from PBE.

Cell: 4.713 7.481 4.803 Å, 90.00 90.00 90.00°
Space group Cmcm (No. 63)
One atom of each set of equivalent atoms:
P1 0.000 0.011 0.250 [4 per cell]
P2 0.000 0.304 0.750 [4 per cell]
Ir1 0.000 0.375 0.250 [4 per cell]

Output
The calculation puts the formation energy at -0.04 eV per atom. The magnetization is 0.00 μB/cell.


Number 2 is which compound? P3Ir